Entry 1:
Entry from the Alexandria database: a crystal of LaMgZnSe2 relaxed with PBEsol (SCAN).

Calculated values
- DOS(E_F): 0.278 states/eV/atom
- Formation energy without anion corrections: -0.240 eV per atom

POSCAR file:
```
LaMgZnSe2
1.0
5.6427 0.0000 0.0000
0.0000 5.6427 0.0000
0.0000 0.0000 5.7552
Zn Mg Se La
1 1 2 1
direct
0.0000 0.0000 0.5000
0.5000 0.5000 0.5000
0.0000 0.5000 0.0000
0.5000 0.0000 0.0000
0.0000 0.0000 0.0000
```


Entry 2:
Entry from the Alexandria database: a crystal of La2MgSi relaxed with PBEsol (SCAN).

Calculated values
- DOS(E_F): 0.852 states/eV/atom
- Formation energy without anion corrections: -0.251 eV per atom

POSCAR file:
```
La2MgSi
1.0
4.6709 0.0000 0.0000
2.3355 4.0451 0.0000
2.3355 1.3484 5.5245
La Mg Si
2 1 1
direct
0.9818 0.9818 0.0546
0.7728 0.7728 0.6817
0.5463 0.5463 0.3612
0.1992 0.1992 0.4025
```


Entry 3:
Entry from the Alexandria database: a crystal of La2MgSi relaxed with PBEsol (SCAN).

Calculated values
- DOS(E_F): 0.729 states/eV/atom
- Formation energy without anion corrections: -0.258 eV per atom

POSCAR file:
```
La2MgSi
1.0
-1.1142 -0.2927 4.1510
-0.4844 -3.8685 1.8326
7.3325 -1.3712 4.1069
La Mg Si
2 1 1
direct
0.2326 0.2326 0.3023
0.7674 0.7674 0.6977
0.0000 0.0000 0.0000
0.5000 0.5000 0.5000
```


Entry 4:
Entry from the Alexandria database: a crystal of LaMgSi relaxed with PBEsol (SCAN).

Calculated values
- DOS(E_F): 0.385 states/eV/atom
- Formation energy without anion corrections: 0.189 eV per atom

POSCAR file:
```
LaMgSi
1.0
4.9412 0.0000 0.0000
2.4706 4.2792 0.0000
2.4706 1.4264 4.0345
Si Mg La
1 1 1
direct
0.5000 0.5000 0.5000
0.0000 0.0000 0.0000
0.2500 0.2500 0.2500
```


Copy entry 3 word for word.
Entry from the Alexandria database: a crystal of La2MgSi relaxed with PBEsol (SCAN).

Calculated values
- DOS(E_F): 0.729 states/eV/atom
- Formation energy without anion corrections: -0.258 eV per atom

POSCAR file:
```
La2MgSi
1.0
-1.1142 -0.2927 4.1510
-0.4844 -3.8685 1.8326
7.3325 -1.3712 4.1069
La Mg Si
2 1 1
direct
0.2326 0.2326 0.3023
0.7674 0.7674 0.6977
0.0000 0.0000 0.0000
0.5000 0.5000 0.5000
```


Question: Number 2 is which compound?
Answer: La2MgSi